Record 1
An optimized crystal structure of Nb6GaGe, computed with GGA-PBEsol.

Values from the calculation:
As for the formation enthalpy at 0 K: -259.3 meV/atom. The space-group type is Pm-3, No. 200. As for the crystal system: cubic. The volume is 135.13 Å³/cell.

Unit cell a=5.1315 b=5.1315 c=5.1315 alpha=90.00 beta=90.00 gamma=90.00
Atoms (fractional coordinates):
Nb (0.0000, 0.5000, 0.7524)
Nb (0.5000, 0.2476, 0.0000)
Nb (0.7524, 0.0000, 0.5000)
Nb (0.0000, 0.5000, 0.2476)
Nb (0.5000, 0.7524, 0.0000)
Nb (0.2476, 0.0000, 0.5000)
Ga (0.5000, 0.5000, 0.5000)
Ge (0.0000, 0.0000, 0.0000)

=====

Record 2
An optimized crystal structure of GaNiGe3, computed with GGA-PBEsol.

Values from the calculation:
As for the formation enthalpy at 0 K: 221.1 meV/atom. The space-group type is Pm-3m, No. 221. As for the crystal system: cubic. The volume is 94.28 Å³/cell.

Unit cell a=4.5513 b=4.5513 c=4.5513 alpha=90.00 beta=90.00 gamma=90.00
Atoms (fractional coordinates):
Ni (0.0000, 0.0000, 0.0000)
Ge (0.0000, 0.5000, 0.0000)
Ge (0.0000, 0.0000, 0.5000)
Ge (0.5000, 0.0000, 0.0000)
Ga (0.5000, 0.5000, 0.5000)

=====

Record 3
An optimized crystal structure of GaNi2Ge3, computed with GGA-PBEsol.

Values from the calculation:
As for the formation enthalpy at 0 K: -296.2 meV/atom. The space-group type is C222_1, No. 20. As for the crystal system: orthorhombic. The volume is 172.18 Å³/cell.

Unit cell a=5.6559 b=5.6655 c=6.0743 alpha=62.20 beta=90.00 gamma=90.00
Atoms (fractional coordinates):
Ga (0.5000, 0.2489, 0.0000)
Ga (0.0000, 0.7511, 0.0000)
Ni (0.2500, 0.3652, 0.2696)
Ni (0.7500, 0.8657, 0.2685)
Ni (0.2500, 0.1343, 0.7315)
Ni (0.7500, 0.6348, 0.7304)
Ge (0.5000, 0.7504, 0.0000)
Ge (0.0000, 0.2496, 0.0000)
Ge (0.5935, 0.0970, 0.4937)
Ge (0.9065, 0.4093, 0.4937)
Ge (0.4065, 0.5907, 0.5063)
Ge (0.0935, 0.9030, 0.5063)

=====

Record 4
An optimized crystal structure of Ga2Ni7Ge2, computed with GGA-PBEsol.

Values from the calculation:
As for the formation enthalpy at 0 K: -341.6 meV/atom. The space-group type is P-6m2, No. 187. As for the crystal system: hexagonal. The volume is 131.58 Å³/cell.

Unit cell a=3.9350 b=3.9350 c=9.8124 alpha=90.00 beta=90.00 gamma=120.00
Atoms (fractional coordinates):
Ga (0.3333, 0.6667, 0.0000)
Ga (0.3333, 0.6667, 0.5000)
Ni (0.0000, 0.0000, 0.8745)
Ni (0.0000, 0.0000, 0.3759)
Ni (0.0000, 0.0000, 0.6241)
Ni (0.0000, 0.0000, 0.1255)
Ni (0.3333, 0.6667, 0.7479)
Ni (0.3333, 0.6667, 0.2521)
Ni (0.6667, 0.3333, 0.0000)
Ge (0.6667, 0.3333, 0.7389)
Ge (0.6667, 0.3333, 0.2611)

=====

Record 5
An optimized crystal structure of GaNi6Ge, computed with GGA-PBEsol.

Values from the calculation:
As for the formation enthalpy at 0 K: -331.9 meV/atom. The space-group type is P4/mmm, No. 123. As for the crystal system: tetragonal. The volume is 87.50 Å³/cell.

Unit cell a=3.5237 b=3.5237 c=7.0465 alpha=90.00 beta=90.00 gamma=90.00
Atoms (fractional coordinates):
Ga (0.0000, 0.0000, 0.0000)
Ni (0.5000, 0.5000, 0.0000)
Ni (0.5000, 0.5000, 0.5000)
Ni (0.5000, 0.0000, 0.2513)
Ni (0.5000, 0.0000, 0.7487)
Ni (0.0000, 0.5000, 0.2513)
Ni (0.0000, 0.5000, 0.7487)
Ge (0.0000, 0.0000, 0.5000)

=====

Record 6
An optimized crystal structure of Sm2Ga9NiGe2, computed with GGA-PBEsol.

Values from the calculation:
As for the formation enthalpy at 0 K: -428.7 meV/atom. The space-group type is P4/nmm, No. 129. As for the crystal system: tetragonal. The volume is 508.68 Å³/cell.

Unit cell a=5.8733 b=5.8733 c=14.7461 alpha=90.00 beta=90.00 gamma=90.00
Atoms (fractional coordinates):
Sm (0.0000, 0.0000, 0.7528)
Sm (0.5000, 0.5000, 0.7528)
Sm (0.5000, 0.5000, 0.2472)
Sm (0.0000, 0.0000, 0.2472)
Ga (0.7739, 0.2739, 0.9122)
Ga (0.2261, 0.2739, 0.9122)
Ga (0.7739, 0.7261, 0.9122)
Ga (0.2261, 0.7261, 0.9122)
Ga (0.7261, 0.2261, 0.0878)
Ga (0.2739, 0.2261, 0.0878)
Ga (0.7261, 0.7739, 0.0878)
Ga (0.2739, 0.7739, 0.0878)
Ga (0.7767, 0.2767, 0.5836)
Ga (0.2233, 0.2767, 0.5836)
Ga (0.7767, 0.7233, 0.5836)
Ga (0.2233, 0.7233, 0.5836)
Ga (0.7233, 0.2233, 0.4164)
Ga (0.2767, 0.2233, 0.4164)
Ga (0.7233, 0.7767, 0.4164)
Ga (0.2767, 0.7767, 0.4164)
Ga (0.0000, 0.5000, 0.3417)
Ga (0.5000, 0.0000, 0.6583)
Ni (0.0000, 0.0000, 0.0000)
Ni (0.5000, 0.5000, 0.0000)
Ge (0.0000, 0.5000, 0.1758)
Ge (0.5000, 0.0000, 0.8242)
Ge (0.0000, 0.5000, 0.7392)
Ge (0.5000, 0.0000, 0.2608)

=====

Record 7
An optimized crystal structure of GaGeO3, computed with GGA-PBEsol.

Values from the calculation:
For the formation energy from raw total energies, the calculation gives -1.06 eV/atom. The space-group type is Pm-3m, No. 221. As for the crystal system: cubic. The volume is 51.01 Å³/cell.

Unit cell a=3.7086 b=3.7086 c=3.7086 alpha=90.00 beta=90.00 gamma=90.00
Atoms (fractional coordinates):
Ge (0.0000, 0.0000, 0.0000)
O (0.0000, 0.5000, 0.0000)
O (0.0000, 0.0000, 0.5000)
O (0.5000, 0.0000, 0.0000)
Ga (0.5000, 0.5000, 0.5000)

=====

Record 8
An optimized crystal structure of GaGeO2, computed with GGA-PBEsol.

Values from the calculation:
For the formation energy from raw total energies, the calculation gives -0.41 eV/atom. The space-group type is Fm-3m, No. 225. As for the crystal system: cubic. The volume is 45.38 Å³/cell.

Unit cell a=4.0037 b=4.0037 c=4.0037 alpha=60.00 beta=60.00 gamma=60.00
Atoms (fractional coordinates):
Ge (0.5000, 0.5000, 0.5000)
O (0.2500, 0.2500, 0.2500)
O (0.7500, 0.7500, 0.7500)
Ga (0.0000, 0.0000, 0.0000)